Here is crystalline SrSmPb2 at its relaxed geometry from the Alexandria database. Energies are from PBE.

Cell: 5.3176 5.3176 4.5107 Å, 90.00 90.00 90.00°
Last column: nearest neighbours and their distance in Å.
Space group P4/mmm (No. 123)
One atom of each set of equivalent atoms:
Sr: 0.0000 0.0000 0.0000  8 Pb 3.49, 4 Sm 3.76
Sm: 0.5000 0.5000 0.0000  8 Pb 3.49, 4 Sr 3.76
Pb: 0.0000 0.5000 0.5000  4 Sm 3.49, 4 Sr 3.49, 4 Pb 3.76

Output
**Fermi-level density of states**: 2.67 states/eV/cell
**ΔH_f (0 K)**: -452 meV/atom
**Total moment**: 0.0 Bohr magnetons per cell
**Uncorrected energy**: -3.906 eV/atom

Here is crystalline AlNi2AsAu at its relaxed geometry from the Alexandria database. Energies are from PBE.

Cell: 4.3637 4.3637 4.6953 Å, 90.00 90.00 90.00°
Last column: nearest neighbours and their distance in Å.
Space group P4/mmm (No. 123)
One atom of each set of equivalent atoms:
Al: 0.0000 0.0000 0.0000  4 Ni 2.18, 2 Au 2.35
Ni: 0.0000 0.5000 0.0000  2 Al 2.18
As: 0.5000 0.5000 0.5000  4 Au 3.09, 8 Ni 3.20
Au: 0.0000 0.0000 0.5000  2 Al 2.35

Output
**Fermi-level density of states**: 2.85 states/eV/cell
**ΔH_f (0 K)**: 633 meV/atom
**Total moment**: 0.0 Bohr magnetons per cell
**Uncorrected energy**: -4.013 eV/atom

Here is crystalline Mg2ZnFeH at its relaxed geometry from the Alexandria database. Energies are from PBE.

Cell: 4.3270 4.3270 3.5192 Å, 90.00 90.00 90.00°
Last column: nearest neighbours and their distance in Å.
Space group P4/mmm (No. 123)
One atom of each set of equivalent atoms:
Mg: 0.0000 0.5000 0.0000  2 H 2.16
Zn: 0.0000 0.0000 0.5000  8 Mg 2.79, 4 Fe 3.06
Fe: 0.5000 0.5000 0.5000  2 H 1.76
H: 0.5000 0.5000 0.0000  2 Fe 1.76

Output
**Fermi-level density of states**: 1.98 states/eV/cell
**Total moment**: 2.0 Bohr magnetons per cell
**Uncorrected energy**: -3.199 eV/atom

Here is crystalline Pm8ZnPd2 at its relaxed geometry from the Alexandria database. Energies are from PBE.

Cell: 8.6485 13.7763 5.7897 Å, 90.00 107.43 90.00°
Last column: nearest neighbours and their distance in Å.
Space group Cm (No. 8)
One atom of each set of equivalent atoms:
Pm: 0.0000 0.0000 0.0000  1 Zn 3.21, 2 Pd 3.30, 3 Pm 3.39-3.53
Pm: 0.0952 0.3763 0.7834  2 Pd 2.90-3.01
Pm: 0.1721 0.1234 0.6016  2 Pd 2.89-2.99
Pm: 0.2616 0.5000 0.3710  1 Zn 3.18, 2 Pd 3.28, 1 Pm 3.39
Pm: 0.3890 0.2299 0.1861  2 Pd 3.05-3.06, 1 Zn 3.21
Zn: 0.3848 0.0000 0.0888  8 Pm 3.18-3.36
Pd: 0.3814 0.3003 0.6824  6 Pm 2.89-3.06

Output
**Fermi-level density of states**: 28.90 states/eV/cell
**Energy above the most stable polymorph in this dataset**: 0.118 eV/atom
**ΔH_f (0 K)**: -211 meV/atom
**Total moment**: 0.0 Bohr magnetons per cell
**Uncorrected energy**: -4.726 eV/atom

Here is crystalline FeTeMoH at its relaxed geometry from the Alexandria database. Energies are from PBE.

Cell: 2.9969 3.3976 5.6331 Å, 90.00 90.00 90.00°
Last column: nearest neighbours and their distance in Å.
Space group Pmm2 (No. 25)
One atom of each set of equivalent atoms:
Fe: 0.0000 0.0000 0.0000  2 H 1.71
Te: 0.5000 0.0000 0.3711  2 Fe 2.57, 2 Mo 2.71
Mo: 0.5000 0.5000 0.7466  2 H 1.97
H: 0.0000 0.5000 0.9723  2 Fe 1.71

Output
**Fermi-level density of states**: 2.15 states/eV/cell
**Energy above the most stable polymorph in this dataset**: 0.062 eV/atom
**Total moment**: 1.1 Bohr magnetons per cell
**Uncorrected energy**: -6.183 eV/atom

Here is crystalline LaBeOs at its relaxed geometry from the Alexandria database. Energies are from PBE.

Cell: 6.3307 6.3307 6.3307 Å, 90.00 90.00 90.00°
Last column: nearest neighbours and their distance in Å.
Space group F-43m (No. 216)
One atom of each set of equivalent atoms:
La: 0.0000 0.0000 0.0000  4 Os 2.74
Be: 0.0000 0.0000 0.5000  4 Os 2.74
Os: 0.2500 0.2500 0.2500  4 Be 2.74, 4 La 2.74

Output
**Fermi-level density of states**: 16.97 states/eV/cell
**Energy above the most stable polymorph in this dataset**: 0.656 eV/atom
**ΔH_f (0 K)**: 491 meV/atom
**Total moment**: 0.0 Bohr magnetons per cell
**Uncorrected energy**: -6.137 eV/atom

Here is crystalline Rb2VCdSi at its relaxed geometry from the Alexandria database. Energies are from PBE.

Cell: 6.9108 6.9108 4.7457 Å, 90.00 90.00 90.00°
Last column: nearest neighbours and their distance in Å.
Space group P4/mmm (No. 123)
One atom of each set of equivalent atoms:
Rb: 0.0000 0.5000 0.0000  2 Cd 3.46
V: 0.0000 0.0000 0.5000  8 Rb 4.19
Cd: 0.5000 0.5000 0.0000  2 Si 2.37
Si: 0.5000 0.5000 0.5000  2 Cd 2.37

Output
**Fermi-level density of states**: 7.66 states/eV/cell
**Total moment**: 3.9 Bohr magnetons per cell
**Uncorrected energy**: -2.432 eV/atom

Here is crystalline ReSbIr2W at its relaxed geometry from the Alexandria database. Energies are from PBE.

Cell: 4.7540 4.7540 5.0517 Å, 90.00 90.00 90.00°
Last column: nearest neighbours and their distance in Å.
Space group P4/mmm (No. 123)
One atom of each set of equivalent atoms:
Re: 0.0000 0.0000 0.0000  4 Sb 3.36, 8 Ir 3.47
Sb: 0.5000 0.5000 0.0000  2 W 2.53
Ir: 0.0000 0.5000 0.5000  2 W 2.38
W: 0.5000 0.5000 0.5000  4 Ir 2.38, 2 Sb 2.53

Output
**Fermi-level density of states**: 4.08 states/eV/cell
**Total moment**: 3.7 Bohr magnetons per cell
**Uncorrected energy**: -7.349 eV/atom

Here is crystalline Ag3AsAu at its relaxed geometry from the Alexandria database. Energies are from PBE.

Cell: 5.1007 5.1007 5.1007 Å, 90.00 90.00 90.00°
Last column: nearest neighbours and their distance in Å.
Space group Pm-3m (No. 221)
One atom of each set of equivalent atoms:
Ag: 0.0000 0.0000 0.5000  2 Au 2.55
As: 0.5000 0.5000 0.5000  12 Ag 3.61
Au: 0.0000 0.0000 0.0000  6 Ag 2.55

Output
**Fermi-level density of states**: 3.33 states/eV/cell
**Energy above the most stable polymorph in this dataset**: 0.390 eV/atom
**ΔH_f (0 K)**: 826 meV/atom
**Total moment**: 0.0 Bohr magnetons per cell
**Uncorrected energy**: -2.470 eV/atom

Here is crystalline SiH2Br at its relaxed geometry from the Alexandria database. Energies are from PBE.

Cell: 10.8825 3.5238 3.2148 Å, 90.00 106.87 90.00°
Last column: nearest neighbours and their distance in Å.
Space group Cm (No. 8)
One atom of each set of equivalent atoms:
Si: 0.0000 0.0000 0.0000  4 H 1.76-1.78
H: 0.0018 0.5000 0.0017  2 Si 1.76
H: 0.0742 0.0000 0.5728  2 Si 1.78
Br: 0.3158 0.5000 0.3192  2 Si 2.50, 1 H 2.69

Output
**Fermi-level density of states**: 0.28 states/eV/cell
**Energy above the most stable polymorph in this dataset**: 0.061 eV/atom
**Total moment**: 0.0 Bohr magnetons per cell
**Uncorrected energy**: -3.376 eV/atom

Here is crystalline Cs2Cd3AgBi4 at its relaxed geometry from the Alexandria database. Energies are from PBE.

Cell: 5.2284 5.2284 12.5713 Å, 90.00 90.00 90.00°
Last column: nearest neighbours and their distance in Å.
Space group P-4m2 (No. 115)
One atom of each set of equivalent atoms:
Cs: 0.0000 0.5000 0.2412  8 Bi 3.98-4.17, 6 Cd 3.99-4.00, 2 Ag 4.00
Cd: 0.0000 0.0000 0.0000  4 Bi 3.04
Cd: 0.0000 0.5000 0.6390  5 Bi 2.99-3.14
Ag: 0.5000 0.5000 0.0000  4 Bi 3.04
Bi: 0.0000 0.0000 0.5000  4 Cd 3.14
Bi: 0.0000 0.5000 0.8766  3 Cd 2.99-3.04, 2 Ag 3.04
Bi: 0.5000 0.5000 0.5000  4 Cd 3.14

Output
**Fermi-level density of states**: 2.54 states/eV/cell
**ΔH_f (0 K)**: -198 meV/atom
**Total moment**: 0.0 Bohr magnetons per cell
**Uncorrected energy**: -2.480 eV/atom

Here is crystalline LaZr2Mo at its relaxed geometry from the Alexandria database. Energies are from PBE.

Cell: 3.3649 3.3649 28.5160 Å, 90.00 90.00 120.00°
Last column: nearest neighbours and their distance in Å.
Space group R3m (No. 160, hexagonal axes)
One atom of each set of equivalent atoms:
La: 0.0000 0.0000 0.0000  3 Mo 2.94
Zr: 0.0000 0.0000 0.5192  3 Mo 2.79
Zr: 0.0000 0.0000 0.7653  9 Zr 3.16-3.36, 3 La 3.42
Mo: 0.0000 0.0000 0.2560  3 Zr 2.79, 3 La 2.94

Output
**Fermi-level density of states**: 14.45 states/eV/cell
**Energy above the most stable polymorph in this dataset**: 0.264 eV/atom
**ΔH_f (0 K)**: 349 meV/atom
**Total moment**: 0.0 Bohr magnetons per cell
**Uncorrected energy**: -7.865 eV/atom

Here is crystalline SnPt7 at its relaxed geometry from the Alexandria database. Energies are from PBE.

Cell: 8.0309 8.0309 8.0309 Å, 90.00 90.00 90.00°
Last column: nearest neighbours and their distance in Å.
Space group Fm-3m (No. 225)
One atom of each set of equivalent atoms:
Sn: 0.0000 0.0000 0.0000  12 Pt 2.84
Pt: 0.0000 0.0000 0.5000  12 Pt 2.84
Pt: 0.0000 0.2500 0.2500  10 Pt 2.84, 2 Sn 2.84

Output
**Fermi-level density of states**: 48.21 states/eV/cell
**ΔH_f (0 K)**: -193 meV/atom
**Total moment**: 0.0 Bohr magnetons per cell
**Uncorrected energy**: -5.979 eV/atom

Here is crystalline CaTe2 at its relaxed geometry from the Alexandria database. Energies are from PBE.

Cell: 6.0853 7.7073 4.8231 Å, 90.00 90.00 90.00°
Last column: nearest neighbours and their distance in Å.
Space group Pnnm (No. 58)
One atom of each set of equivalent atoms:
Ca: 0.0000 0.0000 0.0000  6 Te 3.19-3.21
Te: 0.1808 0.3888 0.0000  1 Te 2.79

Output
**Total moment**: 0.0 Bohr magnetons per cell
**Uncorrected energy**: -3.743 eV/atom

Here is crystalline Cu2SiNiPt at its relaxed geometry from the Alexandria database. Energies are from PBE.

Cell: 4.3165 4.3165 4.5871 Å, 90.00 90.00 90.00°
Last column: nearest neighbours and their distance in Å.
Space group P4/mmm (No. 123)
One atom of each set of equivalent atoms:
Cu: 0.0000 0.5000 0.0000  2 Ni 2.16
Si: 0.0000 0.0000 0.5000  4 Pt 3.05, 8 Cu 3.15
Ni: 0.5000 0.5000 0.0000  4 Cu 2.16, 2 Pt 2.29
Pt: 0.5000 0.5000 0.5000  2 Ni 2.29

Output
**Fermi-level density of states**: 4.34 states/eV/cell
**Total moment**: 0.7 Bohr magnetons per cell
**Uncorrected energy**: -4.188 eV/atom

Here is crystalline Cs2LiNbO4 at its relaxed geometry from the Alexandria database. Energies are from PBE.

Cell: 5.1785 12.9999 21.6360 Å, 90.00 90.00 90.00°
Last column: nearest neighbours and their distance in Å.
Space group Fddd (No. 70, origin choice 2)
One atom of each set of equivalent atoms:
Cs: 0.1250 0.1250 0.2959  8 O 3.21-3.54
Li: 0.1250 0.1250 0.1250  4 O 2.00
Nb: 0.1250 0.1250 0.6250  4 O 1.88
O: 0.1080 0.2944 0.8289  1 Nb 1.88, 1 Li 2.00

Output
**Fermi-level density of states**: 0.00 states/eV/cell
**Total moment**: 0.0 Bohr magnetons per cell
**Uncorrected energy**: -6.336 eV/atom

Here is crystalline LiPrNi at its relaxed geometry from the Alexandria database. Energies are from PBE.

Cell: 4.2918 4.2918 3.8171 Å, 90.00 90.00 120.00°
Last column: nearest neighbours and their distance in Å.
Space group P-6m2 (No. 187)
One atom of each set of equivalent atoms:
Li: 0.0000 0.0000 0.0000  3 Ni 2.48
Pr: 0.6667 0.3333 0.5000  6 Li 3.13, 6 Ni 3.13
Ni: 0.3333 0.6667 0.0000  3 Li 2.48

Output
**Fermi-level density of states**: 1.68 states/eV/cell
**Energy above the most stable polymorph in this dataset**: 0.122 eV/atom
**ΔH_f (0 K)**: -48 meV/atom
**Total moment**: 0.0 Bohr magnetons per cell
**Uncorrected energy**: -4.206 eV/atom

Here is crystalline Zr2P2C at its relaxed geometry from the Alexandria database. Energies are from PBE.

Cell: 3.2805 3.2805 13.9526 Å, 90.00 90.00 90.00°
Last column: nearest neighbours and their distance in Å.
Space group I4/mmm (No. 139)
One atom of each set of equivalent atoms:
Zr: 0.0000 0.0000 0.0980  4 P 2.68, 4 C 2.69, 1 Zr 2.73
P: 0.0000 0.5000 0.2500  4 P 2.32
C: 0.0000 0.0000 0.5000  8 Zr 2.69

Output
**Fermi-level density of states**: 5.33 states/eV/cell
**Energy above the most stable polymorph in this dataset**: 0.206 eV/atom
**ΔH_f (0 K)**: -201 meV/atom
**Total moment**: 0.0 Bohr magnetons per cell
**Uncorrected energy**: -7.629 eV/atom

Here is crystalline Nb2ReW at its relaxed geometry from the Alexandria database. Energies are from PBE.

Cell: 7.2909 7.2909 5.4587 Å, 90.00 90.00 90.00°
Last column: nearest neighbours and their distance in Å.
Space group I-42d (No. 122)
One atom of each set of equivalent atoms:
Nb: 0.2402 0.7500 0.1250  2 Re 2.62, 2 W 2.72, 2 Nb 2.73
Re: 0.0000 0.0000 0.0000  4 Nb 2.62, 2 W 2.73
W: 0.0000 0.0000 0.5000  4 Nb 2.72, 2 Re 2.73

Output
**Fermi-level density of states**: 14.60 states/eV/cell
**ΔH_f (0 K)**: 737 meV/atom
**Total moment**: 0.0 Bohr magnetons per cell
**Uncorrected energy**: -10.649 eV/atom

Here is crystalline TlInSe2Br at its relaxed geometry from the Alexandria database. Energies are from PBE.

Cell: 5.3019 5.3019 5.6925 Å, 90.00 90.00 90.00°
Last column: nearest neighbours and their distance in Å.
Space group P4/mmm (No. 123)
One atom of each set of equivalent atoms:
Tl: 0.0000 0.0000 0.0000  4 Br 3.75, 8 Se 3.89
In: 0.5000 0.5000 0.5000  4 Se 2.65, 2 Br 2.85
Se: 0.0000 0.5000 0.5000  2 In 2.65
Br: 0.5000 0.5000 0.0000  2 In 2.85

Output
**Fermi-level density of states**: 5.52 states/eV/cell
**Energy above the most stable polymorph in this dataset**: 0.000 eV/atom
**Total moment**: 0.3 Bohr magnetons per cell
**Uncorrected energy**: -2.996 eV/atom